{"formula": "Li4ErZn", "functional": "PBE", "state": "optimized geometry", "lattice": [[-4.421, 3.030, -0.373], [-2.980, -0.135, -4.469], [-4.852, -2.306, 0.075]], "species": ["Zn", "Li", "Li", "Li", "Li", "Er"], "fractional_positions": [[0.000, 0.000, 0.000], [0.627, 0.627, 0.119], [0.627, 0.119, 0.627], [0.627, 0.627, 0.627], [0.119, 0.627, 0.627], [0.250, 0.250, 0.250]], "final_energy_ry_per_atom": -0.163, "formation_enthalpy_0k_mev_per_atom": 27}

---

{"formula": "DyMgSc", "functional": "PBE", "state": "optimized geometry", "lattice": [[3.265, 0.000, 0.000], [0.000, 5.283, 0.000], [0.000, -2.642, 4.576]], "species": ["Sc", "Mg", "Dy"], "fractional_positions": [[0.260, 0.333, 0.667], [0.051, 0.000, 0.000], [0.689, 0.667, 0.333]], "final_energy_ry_per_atom": -0.303, "e_above_lowest_polymorph_ev_per_atom": 0.0806, "formation_enthalpy_0k_mev_per_atom": 60}

---

{"formula": "La2ReRu", "functional": "PBE", "state": "optimized geometry", "lattice": [[10.803, 0.190, 0.112], [10.311, 3.228, 0.112], [10.311, 1.670, 2.765]], "species": ["La", "La", "Re", "Ru"], "fractional_positions": [[0.013, 0.013, 0.013], [0.238, 0.238, 0.238], [0.488, 0.488, 0.488], [0.762, 0.762, 0.762]], "final_energy_ry_per_atom": -0.534, "e_above_lowest_polymorph_ev_per_atom": 0.6152, "formation_enthalpy_0k_mev_per_atom": 631}